The following is a PBE calculation of an optimized crystal structure of Pu8GeAs5, from Alexandria.

Cell: 7.5527 7.5527 7.5527 Å, 109.65 109.12 109.65°
Last column: magnetic moment on the atom in μB.
Atoms (fractional coordinates):
1 Pu 0.1252 0.7535 0.0252  -5.21
2 Pu 0.9748 0.1000 0.7282  -5.21
3 Pu 0.7738 0.2480 0.3743  5.18
4 Pu 0.6257 0.3995 0.8737  5.18
5 Pu 0.4742 0.6005 0.2262  5.18
6 Pu 0.6282 0.9000 0.8748  -5.21
7 Pu 0.2718 0.2465 0.3718  -5.21
8 Pu 0.1263 0.7520 0.5258  5.18
9 Ge 0.2500 0.5000 0.7500  0.00
10 As 0.0013 0.3782 0.1268  0.00
11 As 0.8732 0.8745 0.2514  0.00
12 As 0.7486 0.6218 0.6231  0.00
13 As 0.5000 0.0000 0.5000  -0.01
14 As 0.3769 0.1255 0.9987  0.00

Values from the calculation:
V	23.689	Å³ per atom
electronic total energy	-10.958	eV per atom
DFT formation energy	-778	meV/atom
DOS(E_F)	4.312	states/eV/atom